(1)
Entry from Alexandria via LeMat-Bulk: InS2Cl after structural relaxation (PBE).

Calculated values
Its crystal system is cubic. The calculation puts the energy above the most stable polymorph in this dataset at 64.18 kJ/mol of atoms. Its density is 4.6 g/cm³.

a = 6.748 Å, b = 6.748 Å, c = 6.748 Å
α = 90.00°, β = 90.00°, γ = 90.00°
Space group Fm-3m (No. 225)
One atom of each set of equivalent atoms:
In: 0.000 0.000 0.000 x4
S: 0.250 0.250 0.250 x8
Cl: 0.000 0.000 0.500 x4

=====

(2)
Entry from Alexandria via LeMat-Bulk: In2SCl2 after structural relaxation (PBE).

Calculated values
Its crystal system is triclinic. Its density is 3.5 g/cm³. The calculation puts the electronic total energy at -3.426 eV/atom.

a = 3.982 Å, b = 7.932 Å, c = 10.223 Å
α = 90.00°, β = 90.03°, γ = 104.53°
Space group P-1 (No. 2)
One atom of each set of equivalent atoms:
In: 0.045 0.093 0.251 x2
In: 0.210 0.426 0.751 x2
S: 0.453 0.908 0.255 x2
Cl: 0.157 0.316 0.077 x2
Cl: 0.161 0.322 0.421 x2

=====

(3)
Entry from Alexandria via LeMat-Bulk: InSCl2 after structural relaxation (PBE).

Calculated values
Its crystal system is cubic. The calculation puts the energy above the most stable polymorph in this dataset at 45.87 kJ/mol of atoms. Its density is 3.8 g/cm³.

a = 7.233 Å, b = 7.233 Å, c = 7.233 Å
α = 90.00°, β = 90.00°, γ = 90.00°
Space group Fm-3m (No. 225)
One atom of each set of equivalent atoms:
In: 0.000 0.000 0.000 x4
S: 0.000 0.000 0.500 x4
Cl: 0.250 0.250 0.250 x8

=====

(4)
Entry from Alexandria via LeMat-Bulk: InS3Cl after structural relaxation (PBE).

Calculated values
Its crystal system is cubic. The calculation puts the energy above the most stable polymorph in this dataset at 102.04 kJ/mol of atoms. Its density is 3.0 g/cm³.

a = 5.134 Å, b = 5.134 Å, c = 5.134 Å
α = 90.00°, β = 90.00°, γ = 90.00°
Space group Pm-3m (No. 221)
One atom of each set of equivalent atoms:
In: 0.000 0.000 0.000 x1
S: 0.000 0.000 0.500 x3
Cl: 0.500 0.500 0.500 x1

=====

(5)
Entry from Alexandria via LeMat-Bulk: InS3Cl after structural relaxation (PBE).

Calculated values
Its crystal system is triclinic. The calculation puts the energy above the most stable polymorph in this dataset at 0.00 kJ/mol of atoms. Its density is 2.7 g/cm³.

a = 3.941 Å, b = 5.888 Å, c = 6.787 Å
α = 76.86°, β = 88.33°, γ = 84.37°
Space group P1 (No. 1)
One atom of each set of equivalent atoms:
In: 0.000 0.000 0.000 x1
S: 0.389 0.400 0.257 x1
S: 0.467 0.745 0.216 x1
S: 0.482 0.311 0.978 x1
Cl: 0.950 0.932 0.671 x1

=====

(6)
Entry from Alexandria via LeMat-Bulk: InS3Cl after structural relaxation (PBE).

Calculated values
Its crystal system is cubic. The calculation puts the energy above the most stable polymorph in this dataset at 109.86 kJ/mol of atoms. Its density is 3.8 g/cm³.

a = 4.760 Å, b = 4.760 Å, c = 4.760 Å
α = 90.00°, β = 90.00°, γ = 90.00°
Space group Pm-3m (No. 221)
One atom of each set of equivalent atoms:
In: 0.000 0.000 0.000 x1
S: 0.000 0.500 0.500 x3
Cl: 0.500 0.500 0.500 x1